Material: Tb3Pm5Nd2
Method: DFT, PBE
State: optimized geometry

```
Tb3Pm5Nd2
1.0
5.467 -7.855 0.000
5.467 7.855 0.000
-5.431 0.000 8.045
Tb Pm Nd
6 10 4
direct
0.023 0.977 0.750
0.221 0.464 0.454
0.464 0.221 0.954
0.536 0.779 0.046
0.779 0.536 0.546
0.977 0.023 0.250
0.148 0.385 0.779
0.230 0.770 0.750
0.271 0.729 0.250
0.385 0.148 0.279
0.469 0.531 0.250
0.531 0.469 0.750
0.615 0.852 0.721
0.729 0.271 0.750
0.770 0.230 0.250
0.852 0.615 0.221
0.020 0.267 0.052
0.267 0.020 0.552
0.733 0.980 0.448
0.980 0.733 0.948
```

Values from the calculation:
The value obtained for the magnetization is 0.0 μB/f.u. For the energy relative to the elements, the calculation gives 178.3 kJ/mol of formula units. The value obtained for the distance to the lowest polymorph of the same formula is 0.0 meV per atom.

***

Material: Tb3Pm5Nd
Method: DFT, PBE
State: optimized geometry

```
Tb3Pm5Nd
1.0
8.492 -4.133 0.000
8.492 4.133 0.000
-8.293 0.000 9.329
Tb Pm Nd
6 10 2
direct
0.000 0.000 0.000
0.109 0.109 0.812
0.320 0.320 0.156
0.500 0.500 0.500
0.680 0.680 0.844
0.891 0.891 0.188
0.183 0.817 0.500
0.193 0.193 0.560
0.237 0.637 0.725
0.363 0.763 0.275
0.365 0.365 0.924
0.635 0.635 0.076
0.637 0.237 0.725
0.763 0.363 0.275
0.807 0.807 0.440
0.817 0.183 0.500
0.262 0.262 0.368
0.738 0.738 0.632
```

Values from the calculation:
The value obtained for the magnetization is 0.0 μB/f.u. For the energy relative to the elements, the calculation gives 345.5 kJ/mol of formula units. The value obtained for the distance to the lowest polymorph of the same formula is 269.0 meV per atom.

***

Material: TbPmNd14
Method: DFT, PBE
State: optimized geometry

```
TbPmNd14
1.0
7.344 0.000 0.000
0.000 7.344 0.000
0.000 0.000 10.386
Tb Pm Nd
1 1 14
direct
0.000 0.000 0.000
0.500 0.500 0.000
0.000 0.000 0.500
0.000 0.500 0.000
0.000 0.500 0.500
0.249 0.249 0.249
0.249 0.249 0.751
0.249 0.751 0.249
0.249 0.751 0.751
0.500 0.000 0.000
0.500 0.000 0.500
0.500 0.500 0.500
0.751 0.249 0.249
0.751 0.249 0.751
0.751 0.751 0.249
0.751 0.751 0.751
```

Values from the calculation:
The value obtained for the magnetization is 0.0 μB/f.u. For the energy relative to the elements, the calculation gives 20.3 kJ/mol of formula units.

***

Material: Tb2Pm5Nd12
Method: DFT, PBE
State: optimized geometry

```
Tb2Pm5Nd12
1.0
11.287 -3.600 0.000
11.287 3.600 0.000
-3.056 0.000 8.300
Tb Pm Nd
2 5 12
direct
0.243 0.757 0.000
0.757 0.243 0.000
0.150 0.150 0.096
0.251 0.251 0.510
0.500 0.500 0.500
0.749 0.749 0.490
0.850 0.850 0.904
0.047 0.552 0.206
0.048 0.048 0.696
0.138 0.650 0.616
0.350 0.862 0.384
0.357 0.357 0.940
0.448 0.953 0.794
0.552 0.047 0.206
0.643 0.643 0.060
0.650 0.138 0.616
0.862 0.350 0.384
0.952 0.952 0.304
0.953 0.448 0.794
```

Values from the calculation:
The value obtained for the magnetization is 0.0 μB/f.u. For the energy relative to the elements, the calculation gives 236.2 kJ/mol of formula units. The value obtained for the distance to the lowest polymorph of the same formula is 0.0 meV per atom.

***

Material: Tb5Pm4Nd2
Method: DFT, PBE
State: optimized geometry

```
Tb5Pm4Nd2
1.0
5.595 -3.749 0.000
5.595 3.749 0.000
-2.753 0.000 8.906
Tb Pm Nd
5 4 2
direct
0.000 0.000 0.000
0.215 0.650 0.726
0.350 0.785 0.274
0.650 0.215 0.726
0.785 0.350 0.274
0.314 0.314 0.003
0.326 0.326 0.377
0.674 0.674 0.623
0.686 0.686 0.997
0.143 0.143 0.627
0.857 0.857 0.373
```

Values from the calculation:
The value obtained for the magnetization is 0.0 μB/f.u. For the energy relative to the elements, the calculation gives 129.9 kJ/mol of formula units. The value obtained for the distance to the lowest polymorph of the same formula is 0.0 meV per atom.

***

Material: TbPmNd2
Method: DFT, PBE
State: optimized geometry

```
TbPmNd2
1.0
4.285 0.000 0.000
0.000 4.285 0.000
0.000 0.000 7.457
Tb Pm Nd
1 1 2
direct
0.000 0.000 0.000
0.000 0.000 0.500
0.500 0.500 0.246
0.500 0.500 0.754
```

Values from the calculation:
The value obtained for the magnetization is 0.0 μB/f.u. For the energy relative to the elements, the calculation gives 42.7 kJ/mol of formula units. The value obtained for the distance to the lowest polymorph of the same formula is 98.4 meV per atom.

***

Material: TbPm2Nd
Method: DFT, PBE
State: optimized geometry

```
TbPm2Nd
1.0
5.137 0.000 0.000
0.000 5.137 0.000
0.000 0.000 5.143
Tb Pm Nd
1 2 1
direct
0.000 0.000 0.000
0.000 0.500 0.500
0.500 0.000 0.500
0.500 0.500 0.000
```

Values from the calculation:
The value obtained for the magnetization is 0.0 μB/f.u. For the energy relative to the elements, the calculation gives 6.1 kJ/mol of formula units. The value obtained for the distance to the lowest polymorph of the same formula is 2.2 meV per atom.

***

Material: Tb2Pm7Nd3
Method: DFT, PBE
State: optimized geometry

```
Tb2Pm7Nd3
1.0
5.956 0.000 0.000
0.000 3.630 0.000
-1.043 0.000 19.170
Tb Pm Nd
2 7 3
direct
0.209 0.000 0.295
0.791 0.000 0.705
0.186 0.500 0.145
0.243 0.000 0.464
0.312 0.000 0.820
0.500 0.500 0.000
0.688 0.000 0.180
0.757 0.000 0.536
0.814 0.500 0.855
0.000 0.000 0.000
0.282 0.500 0.634
0.718 0.500 0.366
```

Values from the calculation:
The value obtained for the magnetization is 0.0 μB/f.u. For the energy relative to the elements, the calculation gives 97.9 kJ/mol of formula units. The value obtained for the distance to the lowest polymorph of the same formula is 0.0 meV per atom.

***

| no. | final energy (eV per atom) |
| --- | --- |
| 1 | -4.533 |
| 2 | -4.315 |
| 3 | -4.745 |
| 4 | -4.620 |
| 5 | -4.577 |
| 6 | -4.619 |
| 7 | -4.709 |
| 8 | -4.650 |